# Cr5Cd3O12 (PBE+U, optimized geometry)
# volume: 12.12 Å³/atom
# VASP energy: -129.2 eV per formula unit
data_Cr5Cd3O12
_chemical_formula_sum 'Cr20 Cd12 O48'
_cell_length_a 10.799
_cell_length_b 10.799
_cell_length_c 10.799
_cell_angle_alpha 109.47
_cell_angle_beta 109.47
_cell_angle_gamma 109.47
_space_group_name_H-M_alt 'P 1'
_space_group_IT_number 1
_space_group_name_Hall 'P 1'
loop_
_atom_site_label
_atom_site_type_symbol
_atom_site_fract_x
_atom_site_fract_y
_atom_site_fract_z
_atom_site_occupancy
O1 O 0.401 0.019 0.317 1
O2 O 0.584 0.882 0.401 1
Cr1 Cr 0.625 0.875 0.250 1
Cr2 Cr 0.250 0.375 0.625 1
Cd1 Cd 0.125 0.875 0.750 1
O3 O 0.019 0.401 0.817 1
Cd2 Cd 0.375 0.625 0.250 1
O4 O 0.317 0.799 0.416 1
O5 O 0.099 0.916 0.118 1
O6 O 0.799 0.317 0.916 1
O7 O 0.519 0.317 0.901 1
Cr3 Cr 0.250 0.875 0.125 1
O8 O 0.099 0.183 0.481 1
Cd3 Cd 0.875 0.750 0.125 1
Cr4 Cr 0.000 0.500 0.500 1
Cr5 Cr 0.750 0.125 0.875 1
O9 O 0.201 0.519 0.618 1
O10 O 0.981 0.599 0.183 1
O11 O 0.019 0.618 0.701 1
O12 O 0.916 0.099 0.618 1
O13 O 0.701 0.584 0.183 1
O14 O 0.882 0.299 0.481 1
O15 O 0.118 0.416 0.099 1
O16 O 0.084 0.183 0.201 1
O17 O 0.882 0.584 0.901 1
O18 O 0.981 0.382 0.299 1
O19 O 0.701 0.118 0.019 1
Cr6 Cr 0.875 0.250 0.625 1
Cd4 Cd 0.250 0.125 0.375 1
Cr7 Cr 0.125 0.375 0.250 1
O20 O 0.481 0.683 0.099 1
O21 O 0.599 0.618 0.416 1
O22 O 0.299 0.882 0.981 1
Cr8 Cr 0.625 0.750 0.875 1
O23 O 0.916 0.817 0.799 1
Cr9 Cr 0.375 0.125 0.750 1
Cr10 Cr 0.875 0.625 0.750 1
O24 O 0.901 0.817 0.519 1
Cr11 Cr 0.500 0.000 0.000 1
O25 O 0.481 0.799 0.882 1
O26 O 0.183 0.099 0.981 1
Cr12 Cr 0.750 0.625 0.375 1
O27 O 0.382 0.981 0.799 1
Cd5 Cd 0.750 0.875 0.625 1
O28 O 0.519 0.201 0.118 1
O29 O 0.599 0.981 0.683 1
Cd6 Cd 0.250 0.625 0.875 1
O30 O 0.084 0.901 0.382 1
Cr13 Cr 0.500 0.500 0.000 1
O31 O 0.416 0.299 0.317 1
Cr14 Cr 0.125 0.750 0.375 1
O32 O 0.901 0.084 0.882 1
Cr15 Cr 0.500 0.500 0.500 1
O33 O 0.401 0.382 0.584 1
Cd7 Cd 0.625 0.375 0.750 1
Cr16 Cr 0.000 0.500 0.000 1
O34 O 0.382 0.401 0.084 1
O35 O 0.299 0.416 0.817 1
Cr17 Cr 0.000 0.000 0.500 1
O36 O 0.118 0.701 0.519 1
O37 O 0.817 0.901 0.019 1
O38 O 0.416 0.118 0.599 1
O39 O 0.183 0.084 0.701 1
Cd8 Cd 0.750 0.375 0.125 1
O40 O 0.618 0.599 0.916 1
O41 O 0.817 0.916 0.299 1
Cd9 Cd 0.125 0.250 0.875 1
O42 O 0.683 0.481 0.599 1
O43 O 0.683 0.201 0.584 1
O44 O 0.584 0.701 0.683 1
Cd10 Cd 0.375 0.750 0.625 1
Cd11 Cd 0.875 0.125 0.250 1
Cd12 Cd 0.625 0.250 0.375 1
O45 O 0.201 0.683 0.084 1
Cr18 Cr 0.500 0.000 0.500 1
O46 O 0.317 0.519 0.401 1
O47 O 0.618 0.019 0.201 1
Cr19 Cr 0.000 0.000 0.000 1
Cr20 Cr 0.375 0.250 0.125 1
O48 O 0.799 0.481 0.382 1